Li8Mn7FeB8O24 (PBE with a Hubbard U, relaxed); E above lowest polymorph = 0.0985 eV/atom; final energy = -7.17 eV/atom; V = 10.3 Å³ per atom; density of states at the Fermi level = 0.000 states/eV/cell; M_tot = 17.0 μB per cell
1.0
-5.181 -0.504 0.591
1.167 -2.089 8.795
-0.814 9.971 2.807
B O Mn Li Fe
8 24 7 8 1
direct
0.158 0.501 0.627
0.835 0.168 0.876
0.174 0.829 0.122
0.656 0.002 0.627
0.672 0.329 0.128
0.328 0.663 0.876
0.332 0.998 0.377
0.838 0.499 0.375
0.324 0.712 0.165
0.307 0.626 0.597
0.592 0.675 0.864
0.098 0.483 0.344
0.906 0.518 0.668
0.684 0.291 0.846
0.264 0.364 0.611
0.177 0.786 0.846
0.797 0.127 0.590
0.720 0.037 0.918
0.192 0.877 0.421
0.725 0.636 0.361
0.821 0.212 0.174
0.591 0.982 0.344
0.289 0.964 0.087
0.412 0.313 0.112
0.215 0.531 0.916
0.406 0.017 0.675
0.096 0.177 0.861
0.764 0.864 0.613
0.913 0.815 0.110
0.786 0.464 0.094
0.696 0.377 0.417
0.216 0.134 0.362
0.677 0.000 0.133
0.332 0.666 0.383
0.823 0.166 0.384
0.159 0.837 0.636
0.177 0.498 0.131
0.337 0.995 0.882
0.660 0.340 0.634
0.819 0.833 0.418
0.648 0.674 0.668
0.147 0.174 0.667
0.185 0.160 0.168
0.342 0.323 0.917
0.839 0.827 0.917
0.316 0.331 0.417
0.689 0.661 0.166
0.826 0.500 0.883


Li4Mn3FeB4O12 (PBE with a Hubbard U, relaxed); E above lowest polymorph = 0.0000 eV/atom; final energy = -7.22 eV/atom; V = 10.4 Å³ per atom; density of states at the Fermi level = 0.000 states/eV/cell; M_tot = 19.0 μB per cell
1.0
-4.042 -0.196 -3.306
0.102 -3.168 4.176
-4.741 7.522 5.577
Li O B Fe Mn
4 12 4 1 3
direct
0.649 0.661 0.083
0.347 0.321 0.332
0.321 0.349 0.832
0.665 0.655 0.583
0.274 0.362 0.639
0.358 0.267 0.141
0.726 0.637 0.388
0.929 0.253 0.906
0.758 0.073 0.579
0.021 0.416 0.333
0.576 0.959 0.157
0.421 0.034 0.831
0.070 0.752 0.082
0.964 0.579 0.655
0.256 0.928 0.402
0.626 0.727 0.890
0.657 0.002 0.875
0.001 0.660 0.373
0.000 0.337 0.623
0.333 0.993 0.126
0.683 0.996 0.367
0.333 0.998 0.614
0.992 0.326 0.118
0.997 0.677 0.867